Density functional theory data (PBE+U) for a relaxed KMnPCO7 crystal.

It has space group P2_1 (No. 4), with a = 5.064 Å, b = 6.209 Å, c = 9.705 Å, α = 90.00°, β = 99.08° and γ = 90.00°. The distinct sites, in fractional coordinates, are K at (0.091, 0.000, 0.170), Mn at (0.273, 0.985, 0.652), P at (0.304, 0.484, 0.562), C at (0.457, 0.985, 0.898), O at (0.102, 0.484, 0.427), O at (0.198, 0.984, 0.849), O at (0.269, 0.293, 0.661), O at (0.269, 0.676, 0.661), O at (0.402, 0.484, 0.206), O at (0.408, 0.985, 0.475) and O at (0.446, 0.485, 0.976).

Its energy above the most stable polymorph in this dataset is 0.0000 eV/atom. For the magnetization, the calculation gives 5.99 Bohr magnetons per cell. Its total energy is -7.037 eV/atom.